*a*
Here is a geometry-optimized Re2IrRh structure from Alexandria. Energies are from GGA-PBEsol.

## Properties
* density of states at the Fermi level: 0.9820 states/eV/atom
* total magnetic moment: 0.000 μB/atom

```
Re2IrRh
1.0
2.689 -3.903 0.000
2.689 3.903 0.000
0.000 0.000 2.684
Re Ir Rh
2 1 1
Cartesian
1.345 1.951 0.000 Re
1.345 -1.951 0.000 Re
0.000 0.000 1.342 Ir
2.689 0.000 1.342 Rh
```



*b*
Here is a geometry-optimized Re2IrRh structure from Alexandria. Energies are from GGA-PBEsol.

## Properties
* density of states at the Fermi level: 0.4883 states/eV/atom
* total magnetic moment: 0.000 μB/atom

```
Re2IrRh
1.0
2.705 0.000 0.000
0.000 4.345 0.000
0.000 0.000 4.781
Re Ir Rh
2 1 1
Cartesian
0.000 0.000 0.000 Re
0.000 2.173 1.567 Re
1.352 0.000 2.399 Ir
1.352 2.173 3.978 Rh
```



*c*
Here is a geometry-optimized Re2IrRh structure from Alexandria. Energies are from GGA-PBEsol.

## Properties
* density of states at the Fermi level: 1.1357 states/eV/atom
* total magnetic moment: 0.000 μB/atom

```
Re2IrRh
1.0
3.292 0.000 0.000
0.000 3.292 0.000
0.000 0.000 5.366
Re Ir Rh
2 1 1
Cartesian
0.000 0.000 1.320 Re
0.000 0.000 4.046 Re
1.646 1.646 0.000 Ir
1.646 1.646 2.683 Rh
```



Winner for stability: *b*



*a*
Here is a geometry-optimized ReSb2Ir structure from Alexandria. Energies are from GGA-PBEsol.

## Properties
* density of states at the Fermi level: 0.6979 states/eV/atom
* total magnetic moment: 0.000 μB/atom

```
ReSb2Ir
1.0
2.970 0.000 0.000
0.000 2.970 0.000
0.000 0.000 9.147
Re Sb Ir
1 2 1
Cartesian
0.000 0.000 0.000 Re
0.000 0.000 5.432 Sb
1.485 1.485 1.951 Sb
1.485 1.485 7.523 Ir
```



*b*
Here is a geometry-optimized ReSb2Ir structure from Alexandria. Energies are from GGA-PBEsol.

## Properties
* density of states at the Fermi level: 0.6014 states/eV/atom
* total magnetic moment: 0.000 μB/atom

```
ReSb2Ir
1.0
-1.665 2.184 4.985
1.665 -2.184 4.985
1.665 2.184 -4.985
Re Sb Ir
1 2 1
Cartesian
0.000 0.000 0.000 Re
1.665 0.000 2.250 Sb
0.000 0.000 4.952 Sb
0.000 2.184 2.164 Ir
```



Winner for stability: *a*



*a*
Here is a geometry-optimized ReIrSe2 structure from Alexandria. Energies are from GGA-PBEsol.

## Properties
* density of states at the Fermi level: 0.9268 states/eV/atom
* total magnetic moment: 0.000 μB/atom

```
ReIrSe2
1.0
1.482 0.856 9.258
-1.482 0.856 9.258
0.000 -1.711 9.258
Re Ir Se
1 1 2
Cartesian
0.000 0.000 0.000 Re
0.000 0.000 7.070 Ir
0.000 0.000 14.438 Se
0.000 0.000 20.303 Se
```



*b*
Here is a geometry-optimized ReIrSe2 structure from Alexandria. Energies are from GGA-PBEsol.

## Properties
* density of states at the Fermi level: 0.4038 states/eV/atom
* total magnetic moment: 0.000 μB/atom

```
ReIrSe2
1.0
4.802 -1.510 0.000
4.802 1.510 0.000
-0.679 0.000 5.612
Re Ir Se
1 1 2
Cartesian
0.000 0.000 0.000 Re
6.930 0.000 0.056 Ir
2.720 0.000 4.102 Se
5.189 0.000 1.857 Se
```



*c*
Here is a geometry-optimized ReIrSe2 structure from Alexandria. Energies are from GGA-PBEsol.

## Properties
* density of states at the Fermi level: 1.1562 states/eV/atom
* total magnetic moment: 0.001 μB/atom

```
ReIrSe2
1.0
-1.887 1.887 4.342
1.887 -1.887 4.342
1.887 1.887 -4.342
Re Ir Se
1 1 2
Cartesian
0.000 0.000 0.000 Re
1.887 0.000 2.171 Ir
0.000 0.000 4.342 Se
0.000 1.887 2.171 Se
```



*d*
Here is a geometry-optimized ReIrSe2 structure from Alexandria. Energies are from GGA-PBEsol.

## Properties
* density of states at the Fermi level: 0.7951 states/eV/atom
* total magnetic moment: 0.000 μB/atom

```
ReIrSe2
1.0
1.592 0.919 8.035
-1.592 0.919 8.035
0.000 -1.838 8.035
Re Ir Se
1 1 2
Cartesian
0.000 0.000 0.000 Re
0.000 0.000 12.052 Ir
0.000 0.000 2.346 Se
0.000 0.000 21.759 Se
```



Winner for stability: *a*



*a*
Here is a geometry-optimized Sr2ReIr structure from Alexandria. Energies are from GGA-PBEsol.

## Properties
* density of states at the Fermi level: 1.0451 states/eV/atom
* total magnetic moment: 0.000 μB/atom

```
Sr2ReIr
1.0
3.370 0.000 0.000
0.000 3.370 0.000
0.000 0.000 9.243
Sr Re Ir
2 1 1
Cartesian
0.000 0.000 0.000 Sr
1.685 1.685 3.686 Sr
1.685 1.685 6.889 Re
0.000 0.000 5.975 Ir
```



*b*
Here is a geometry-optimized Sr2ReIr structure from Alexandria. Energies are from GGA-PBEsol.

## Properties
* density of states at the Fermi level: 1.1080 states/eV/atom
* total magnetic moment: 0.095 μB/atom

```
Sr2ReIr
1.0
4.960 -1.470 0.000
4.960 1.470 0.000
-0.476 0.000 5.629
Sr Re Ir
2 1 1
Cartesian
2.337 0.000 1.368 Sr
7.106 0.000 4.261 Sr
-0.238 0.000 2.814 Re
4.960 0.000 0.000 Ir
```



Winner for stability: *a*